# 1
DFT (PBE) results for crystalline CuSbTeAu at its relaxed geometry.

Geometry as POSCAR:
```
CuSbTeAu
1.0
2.068 1.194 13.041
-2.068 1.194 13.041
0.000 -2.388 13.041
Cu Sb Te Au
2 2 2 2
Direct
0.185 0.185 0.185 Cu
0.815 0.815 0.815 Cu
0.389 0.389 0.389 Sb
0.611 0.611 0.611 Sb
0.119 0.119 0.119 Te
0.881 0.881 0.881 Te
0.312 0.312 0.312 Au
0.688 0.688 0.688 Au
```

- raw total energy (eV/atom) = -3.67
- calculated volume (Å³ per cell) = 193.2
- magnetization (μB per formula unit) = 0.000

***

# 2
DFT (PBE) results for crystalline Tb3Pm4Er3 at its relaxed geometry.

Geometry as POSCAR:
```
Tb3Pm4Er3
1.0
3.794 0.000 0.000
0.000 6.583 6.571
0.000 -6.583 6.571
Tb Pm Er
3 4 3
Direct
0.000 0.000 0.000 Tb
0.500 0.170 0.667 Tb
0.500 0.667 0.170 Tb
0.500 0.039 0.300 Pm
0.500 0.300 0.039 Pm
0.500 0.539 0.539 Pm
0.500 0.799 0.799 Pm
0.000 0.338 0.338 Er
0.000 0.500 0.837 Er
0.000 0.837 0.500 Er
```

- ΔH_f (0 K) (meV per atom) = 96
- raw total energy (eV/atom) = -4.56
- calculated volume (Å³ per cell) = 328.2
- magnetization (μB per formula unit) = 0.000

***

# 3
DFT (PBE) results for crystalline TbZrTl2 at its relaxed geometry.

Geometry as POSCAR:
```
TbZrTl2
1.0
1.736 1.002 10.083
-1.736 1.002 10.083
0.000 -2.005 10.083
Tb Zr Tl
1 1 2
Direct
0.000 0.000 0.000 Tb
0.500 0.500 0.500 Zr
0.247 0.247 0.247 Tl
0.753 0.753 0.753 Tl
```

- ΔH_f (0 K) (meV per atom) = -62
- raw total energy (eV/atom) = -4.54
- calculated volume (Å³ per cell) = 105.3
- magnetization (μB per formula unit) = 0.000

***

# 4
DFT (PBE) results for crystalline Dy5Mg2Pb5 at its relaxed geometry.

Geometry as POSCAR:
```
Dy5Mg2Pb5
1.0
7.019 -2.335 0.000
7.019 2.335 0.000
-5.984 0.000 10.616
Dy Mg Pb
5 2 5
Direct
0.000 0.000 0.000 Dy
0.152 0.152 0.497 Dy
0.153 0.153 0.794 Dy
0.847 0.847 0.206 Dy
0.848 0.848 0.503 Dy
0.414 0.414 0.731 Mg
0.586 0.586 0.269 Mg
0.228 0.228 0.285 Pb
0.374 0.374 0.046 Pb
0.500 0.500 0.500 Pb
0.626 0.626 0.954 Pb
0.772 0.772 0.715 Pb
```

- ΔH_f (0 K) (meV per atom) = -294
- raw total energy (eV/atom) = -4.02
- calculated volume (Å³ per cell) = 348.1
- magnetization (μB per formula unit) = 0.000

***

# 5
DFT (PBE) results for crystalline RbCoOs at its relaxed geometry.

Geometry as POSCAR:
```
RbCoOs
1.0
3.694 0.000 0.000
0.000 3.702 0.000
-0.318 0.000 12.273
Rb Co Os
2 2 2
Direct
0.000 0.000 0.000 Rb
0.482 0.500 0.372 Rb
0.732 0.500 0.623 Co
0.734 0.000 0.749 Co
0.222 0.000 0.619 Os
0.244 0.500 0.753 Os
```

- ΔH_f (0 K) (meV per atom) = 740
- raw total energy (eV/atom) = -5.69
- calculated volume (Å³ per cell) = 167.8
- magnetization (μB per formula unit) = 0.720
- energy above the lowest structure with this stoichiometry (eV/f.u.) = 0.26

***

# 6
DFT (PBE) results for crystalline SnI2Br at its relaxed geometry.

Geometry as POSCAR:
```
SnI2Br
1.0
-4.986 4.986 3.064
4.986 -4.986 3.064
4.986 4.986 -3.064
Sn I Br
2 4 2
Direct
0.000 0.000 0.000 Sn
0.750 0.250 0.500 Sn
0.084 0.125 0.459 I
0.375 0.916 0.041 I
0.666 0.625 0.541 I
0.875 0.334 0.959 I
0.250 0.750 0.500 Br
0.500 0.500 0.000 Br
```

- raw total energy (eV/atom) = -2.45
- calculated volume (Å³ per cell) = 304.6
- magnetization (μB per formula unit) = 0.000
- energy above the lowest structure with this stoichiometry (eV/f.u.) = 0.00

***

# 7
DFT (PBE) results for crystalline NdDy3S4 at its relaxed geometry.

Geometry as POSCAR:
```
NdDy3S4
1.0
3.988 -5.586 0.000
3.988 5.586 0.000
0.000 0.000 3.906
Nd Dy S
1 3 4
Direct
0.000 0.000 0.000 Nd
0.000 0.500 0.500 Dy
0.500 0.000 0.500 Dy
0.500 0.500 0.000 Dy
0.255 0.745 0.000 S
0.260 0.260 0.500 S
0.740 0.740 0.500 S
0.745 0.255 0.000 S
```

- raw total energy (eV/atom) = -6.38
- calculated volume (Å³ per cell) = 174.0
- magnetization (μB per formula unit) = 0.000
- energy above the lowest structure with this stoichiometry (eV/f.u.) = 0.00

***

# 8
DFT (PBE) results for crystalline MgReRu2 at its relaxed geometry.

Geometry as POSCAR:
```
MgReRu2
1.0
2.731 0.000 0.000
0.000 2.731 0.000
0.000 0.000 8.096
Mg Re Ru
1 1 2
Direct
0.000 0.000 0.000 Mg
0.500 0.500 0.275 Re
0.000 0.000 0.518 Ru
0.500 0.500 0.741 Ru
```

- ΔH_f (0 K) (meV per atom) = 213
- raw total energy (eV/atom) = -7.94
- calculated volume (Å³ per cell) = 60.4
- magnetization (μB per formula unit) = 0.000